Entry 1:
# SrZr2W (PBE-GGA, relaxed)
# Energy relative to the lowest polymorph listed for this composition, eV/atom: 0.4017
# E_tot, eV per atom: -7.2363
# Volume, Å³/cell: 366
# Formation energy from the elements, eV/f.u.: 2.79
data_SrZr2W
_cell_length_a 7.1529
_cell_length_b 7.1529
_cell_length_c 7.1529
_cell_angle_alpha 90.00
_cell_angle_beta 90.00
_cell_angle_gamma 90.00
_symmetry_space_group_name_H-M 'F m -3 m'
_symmetry_Int_Tables_number 225
_symmetry_space_group_name_Hall '-F 4 2 3'
loop_
_atom_site_label
_atom_site_type_symbol
_atom_site_fract_x
_atom_site_fract_y
_atom_site_fract_z
Sr1 Sr 0.0000 0.0000 0.0000
Zr1 Zr 0.2500 0.2500 0.2500
W1 W 0.0000 0.0000 0.5000

Entry 2:
# Sr2ZrW (PBE-GGA, relaxed)
# Energy relative to the lowest polymorph listed for this composition, eV/atom: 0.6006
# E_tot, eV per atom: -5.0968
# Volume, Å³/cell: 210
# Formation energy from the elements, eV/f.u.: 4.48
data_Sr2ZrW
_cell_length_a 6.1169
_cell_length_b 11.1561
_cell_length_c 3.0802
_cell_angle_alpha 90.00
_cell_angle_beta 90.88
_cell_angle_gamma 90.00
_symmetry_space_group_name_H-M 'C 1 2/m 1'
_symmetry_Int_Tables_number 12
loop_
_symmetry_equiv_pos_as_xyz
'x,y,z'
'-x,-y,-z'
'-x,y,-z'
'x,-y,z'
'x+1/2,y+1/2,z'
'-x+1/2,-y+1/2,-z'
'-x+1/2,y+1/2,-z'
'x+1/2,-y+1/2,z'
loop_
_atom_site_label
_atom_site_type_symbol
_atom_site_fract_x
_atom_site_fract_y
_atom_site_fract_z
Sr1 Sr 0.2500 0.2500 0.0000
Zr1 Zr 0.0000 0.0000 0.5000
W1 W 0.0000 0.5000 0.5000

Entry 3:
# Sr2ZrW (PBE-GGA, relaxed)
# Energy relative to the lowest polymorph listed for this composition, eV/atom: 0.5955
# E_tot, eV per atom: -5.1020
# Volume, Å³/cell: 105
# Formation energy from the elements, eV/f.u.: 4.46
data_Sr2ZrW
_cell_length_a 3.0877
_cell_length_b 5.5321
_cell_length_c 6.1740
_cell_angle_alpha 90.00
_cell_angle_beta 90.17
_cell_angle_gamma 90.00
_symmetry_space_group_name_H-M 'P 1 2/m 1'
_symmetry_Int_Tables_number 10
loop_
_symmetry_equiv_pos_as_xyz
'x,y,z'
'-x,-y,-z'
'-x,y,-z'
'x,-y,z'
loop_
_atom_site_label
_atom_site_type_symbol
_atom_site_fract_x
_atom_site_fract_y
_atom_site_fract_z
Sr1 Sr 0.9995 0.0000 0.2412
Zr1 Zr 0.5000 0.5000 0.5000
W1 W 0.5000 0.5000 0.0000

Entry 4:
# Sr2ZrW (PBE-GGA, relaxed)
# Energy relative to the lowest polymorph listed for this composition, eV/atom: 0.0000
# E_tot, eV per atom: -5.6975
# Volume, Å³/cell: 127
# Formation energy from the elements, eV/f.u.: 2.08
data_Sr2ZrW
_cell_length_a 3.6793
_cell_length_b 3.6793
_cell_length_c 9.3585
_cell_angle_alpha 90.00
_cell_angle_beta 90.00
_cell_angle_gamma 90.00
_symmetry_space_group_name_H-M 'P 4 m m'
_symmetry_Int_Tables_number 99
loop_
_symmetry_equiv_pos_as_xyz
'x,y,z'
'-y,x,z'
'-x,-y,z'
'y,-x,z'
'-x,y,z'
'y,x,z'
'x,-y,z'
'-y,-x,z'
loop_
_atom_site_label
_atom_site_type_symbol
_atom_site_fract_x
_atom_site_fract_y
_atom_site_fract_z
Sr1 Sr 0.0000 0.0000 0.0000
Sr2 Sr 0.5000 0.5000 0.3795
Zr1 Zr 0.5000 0.5000 0.7355
W1 W 0.0000 0.0000 0.6241

Entry 5:
# SrZr2W (PBE-GGA, relaxed)
# Energy relative to the lowest polymorph listed for this composition, eV/atom: 1.0793
# E_tot, eV per atom: -6.5587
# Volume, Å³/cell: 551
# Formation energy from the elements, eV/f.u.: 5.50
data_SrZr2W
_cell_length_a 5.5341
_cell_length_b 5.5341
_cell_length_c 17.9982
_cell_angle_alpha 90.00
_cell_angle_beta 90.00
_cell_angle_gamma 90.00
_symmetry_space_group_name_H-M 'I 41/a m d'
_symmetry_Int_Tables_number 141
loop_
_symmetry_equiv_pos_as_xyz
'x,y,z'
'-x,-y,-z'
'-y+1/4,x+3/4,z+1/4'
'y+1/4,-x+3/4,-z+1/4'
'-x+1/2,-y,z+1/2'
'x+1/2,y,-z+1/2'
'y+1/4,-x+1/4,z+3/4'
'-y+1/4,x+1/4,-z+3/4'
'x,-y,-z'
'-x,y,z'
'-y+1/4,-x+1/4,-z+3/4'
'y+1/4,x+1/4,z+3/4'
'-x+1/2,y,-z+1/2'
'x+1/2,-y,z+1/2'
'y+1/4,x+3/4,-z+1/4'
'-y+1/4,-x+3/4,z+1/4'
'x+1/2,y+1/2,z+1/2'
'-x+1/2,-y+1/2,-z+1/2'
'-y+3/4,x+1/4,z+3/4'
'y+3/4,-x+1/4,-z+3/4'
'-x,-y+1/2,z'
'x,y+1/2,-z'
'y+3/4,-x+3/4,z+1/4'
'-y+3/4,x+3/4,-z+1/4'
'x+1/2,-y+1/2,-z+1/2'
'-x+1/2,y+1/2,z+1/2'
'-y+3/4,-x+3/4,-z+1/4'
'y+3/4,x+3/4,z+1/4'
'-x,y+1/2,-z'
'x,-y+1/2,z'
'y+3/4,x+1/4,-z+3/4'
'-y+3/4,-x+1/4,z+3/4'
loop_
_atom_site_label
_atom_site_type_symbol
_atom_site_fract_x
_atom_site_fract_y
_atom_site_fract_z
Sr1 Sr 0.0000 0.2500 0.3750
Zr1 Zr 0.0000 0.0000 0.0000
W1 W 0.0000 0.2500 0.8750

Entry 6:
# SrZr2W (PBE-GGA, relaxed)
# Energy relative to the lowest polymorph listed for this composition, eV/atom: 0.3219
# E_tot, eV per atom: -7.3160
# Volume, Å³/cell: 226
# Formation energy from the elements, eV/f.u.: 2.47
data_SrZr2W
_cell_length_a 3.4616
_cell_length_b 4.6270
_cell_length_c 14.1056
_cell_angle_alpha 90.00
_cell_angle_beta 90.00
_cell_angle_gamma 90.00
_symmetry_space_group_name_H-M 'I m m 2'
_symmetry_Int_Tables_number 44
loop_
_symmetry_equiv_pos_as_xyz
'x,y,z'
'-x,-y,z'
'-x,y,z'
'x,-y,z'
'x+1/2,y+1/2,z+1/2'
'-x+1/2,-y+1/2,z+1/2'
'-x+1/2,y+1/2,z+1/2'
'x+1/2,-y+1/2,z+1/2'
loop_
_atom_site_label
_atom_site_type_symbol
_atom_site_fract_x
_atom_site_fract_y
_atom_site_fract_z
Sr1 Sr 0.0000 0.0000 0.0000
Zr1 Zr 0.0000 0.0000 0.6522
Zr2 Zr 0.0000 0.5000 0.7913
W1 W 0.0000 0.5000 0.2952

Entry 7:
# SrZr2W (PBE-GGA, relaxed)
# Energy relative to the lowest polymorph listed for this composition, eV/atom: 0.2305
# E_tot, eV per atom: -7.4074
# Volume, Å³/cell: 102
# Formation energy from the elements, eV/f.u.: 2.10
data_SrZr2W
_cell_length_a 3.1840
_cell_length_b 4.4127
_cell_length_c 7.3735
_cell_angle_alpha 90.00
_cell_angle_beta 99.75
_cell_angle_gamma 90.00
_symmetry_space_group_name_H-M 'P 1 2/m 1'
_symmetry_Int_Tables_number 10
loop_
_symmetry_equiv_pos_as_xyz
'x,y,z'
'-x,-y,-z'
'-x,y,-z'
'x,-y,z'
loop_
_atom_site_label
_atom_site_type_symbol
_atom_site_fract_x
_atom_site_fract_y
_atom_site_fract_z
Sr1 Sr 0.0000 0.0000 0.0000
Zr1 Zr 0.2677 0.5000 0.6810
W1 W 0.5000 0.0000 0.5000

Entry 8:
# Sr2ZrW (PBE-GGA, relaxed)
# Energy relative to the lowest polymorph listed for this composition, eV/atom: 0.5142
# E_tot, eV per atom: -5.1833
# Volume, Å³/cell: 210
# Formation energy from the elements, eV/f.u.: 4.13
data_Sr2ZrW
_cell_length_a 5.2882
_cell_length_b 5.2882
_cell_length_c 7.5181
_cell_angle_alpha 90.00
_cell_angle_beta 90.00
_cell_angle_gamma 90.00
_symmetry_space_group_name_H-M 'I -4 m 2'
_symmetry_Int_Tables_number 119
_symmetry_space_group_name_Hall 'I -4 -2'
loop_
_atom_site_label
_atom_site_type_symbol
_atom_site_fract_x
_atom_site_fract_y
_atom_site_fract_z
Sr1 Sr 0.0000 0.0000 0.0000
Sr2 Sr 0.0000 0.5000 0.2500
Zr1 Zr 0.0000 0.0000 0.5000
W1 W 0.0000 0.5000 0.7500

Entry 9:
# SrZr2W (PBE-GGA, relaxed)
# Energy relative to the lowest polymorph listed for this composition, eV/atom: 0.2114
# E_tot, eV per atom: -7.4265
# Volume, Å³/cell: 105
# Formation energy from the elements, eV/f.u.: 2.03
data_SrZr2W
_cell_length_a 3.6822
_cell_length_b 3.6822
_cell_length_c 7.7293
_cell_angle_alpha 90.00
_cell_angle_beta 90.00
_cell_angle_gamma 90.00
_symmetry_space_group_name_H-M 'P 4 m m'
_symmetry_Int_Tables_number 99
loop_
_symmetry_equiv_pos_as_xyz
'x,y,z'
'-y,x,z'
'-x,-y,z'
'y,-x,z'
'-x,y,z'
'y,x,z'
'x,-y,z'
'-y,-x,z'
loop_
_atom_site_label
_atom_site_type_symbol
_atom_site_fract_x
_atom_site_fract_y
_atom_site_fract_z
Sr1 Sr 0.0000 0.0000 0.0000
Zr1 Zr 0.0000 0.0000 0.4418
Zr2 Zr 0.5000 0.5000 0.6500
W1 W 0.5000 0.5000 0.2970

Entry 10:
# SrZr3W (PBE-GGA, relaxed)
# Energy relative to the lowest polymorph listed for this composition, eV/atom: 1.7638
# E_tot, eV per atom: -5.6638
# Volume, Å³/cell: 123
# Formation energy from the elements, eV/f.u.: 11.96
data_SrZr3W
_cell_length_a 4.9687
_cell_length_b 4.9687
_cell_length_c 4.9687
_cell_angle_alpha 90.00
_cell_angle_beta 90.00
_cell_angle_gamma 90.00
_symmetry_space_group_name_H-M 'P m -3 m'
_symmetry_Int_Tables_number 221
_symmetry_space_group_name_Hall '-P 4 2 3'
loop_
_atom_site_label
_atom_site_type_symbol
_atom_site_fract_x
_atom_site_fract_y
_atom_site_fract_z
Sr1 Sr 0.0000 0.0000 0.0000
Zr1 Zr 0.0000 0.0000 0.5000
W1 W 0.5000 0.5000 0.5000

Entry 11:
# SrZr2W (PBE-GGA, relaxed)
# Energy relative to the lowest polymorph listed for this composition, eV/atom: 0.6162
# E_tot, eV per atom: -7.0218
# Volume, Å³/cell: 375
# Formation energy from the elements, eV/f.u.: 3.64
data_SrZr2W
_cell_length_a 7.2091
_cell_length_b 7.2091
_cell_length_c 7.2091
_cell_angle_alpha 90.00
_cell_angle_beta 90.00
_cell_angle_gamma 90.00
_symmetry_space_group_name_H-M 'F -4 3 m'
_symmetry_Int_Tables_number 216
_symmetry_space_group_name_Hall 'F -4 2 3'
loop_
_atom_site_label
_atom_site_type_symbol
_atom_site_fract_x
_atom_site_fract_y
_atom_site_fract_z
Sr1 Sr 0.0000 0.0000 0.0000
Zr1 Zr 0.0000 0.0000 0.5000
Zr2 Zr 0.2500 0.2500 0.7500
W1 W 0.2500 0.2500 0.2500

Entry 12:
# Sr2ZrW (PBE-GGA, relaxed)
# Energy relative to the lowest polymorph listed for this composition, eV/atom: 0.1690
# E_tot, eV per atom: -5.5284
# Volume, Å³/cell: 277
# Formation energy from the elements, eV/f.u.: 2.75
data_Sr2ZrW
_cell_length_a 3.3678
_cell_length_b 4.3302
_cell_length_c 19.0162
_cell_angle_alpha 90.00
_cell_angle_beta 90.00
_cell_angle_gamma 90.00
_symmetry_space_group_name_H-M 'I m m m'
_symmetry_Int_Tables_number 71
_symmetry_space_group_name_Hall '-I 2 2'
loop_
_atom_site_label
_atom_site_type_symbol
_atom_site_fract_x
_atom_site_fract_y
_atom_site_fract_z
Sr1 Sr 0.0000 0.0000 0.1574
Zr1 Zr 0.0000 0.5000 0.0000
W1 W 0.0000 0.5000 0.5000

Entry 13:
# Sr2ZrW (PBE-GGA, relaxed)
# Energy relative to the lowest polymorph listed for this composition, eV/atom: 0.6915
# E_tot, eV per atom: -5.0060
# Volume, Å³/cell: 680
# Formation energy from the elements, eV/f.u.: 4.84
data_Sr2ZrW
_cell_length_a 11.7444
_cell_length_b 11.7444
_cell_length_c 4.9270
_cell_angle_alpha 90.00
_cell_angle_beta 90.00
_cell_angle_gamma 90.00
_symmetry_space_group_name_H-M 'I -4 2 d'
_symmetry_Int_Tables_number 122
_symmetry_space_group_name_Hall 'I -4 2bw'
loop_
_atom_site_label
_atom_site_type_symbol
_atom_site_fract_x
_atom_site_fract_y
_atom_site_fract_z
Sr1 Sr 0.0900 0.2500 0.1250
Zr1 Zr 0.0000 0.0000 0.5000
W1 W 0.0000 0.0000 0.0000

Entry 14:
# SrZr2W (PBE-GGA, relaxed)
# Energy relative to the lowest polymorph listed for this composition, eV/atom: 0.3036
# E_tot, eV per atom: -7.3344
# Volume, Å³/cell: 103
# Formation energy from the elements, eV/f.u.: 2.39
data_SrZr2W
_cell_length_a 3.1210
_cell_length_b 4.7834
_cell_length_c 7.0037
_cell_angle_alpha 90.00
_cell_angle_beta 100.47
_cell_angle_gamma 90.00
_symmetry_space_group_name_H-M 'P 1 m 1'
_symmetry_Int_Tables_number 6
loop_
_symmetry_equiv_pos_as_xyz
'x,y,z'
'x,-y,z'
loop_
_atom_site_label
_atom_site_type_symbol
_atom_site_fract_x
_atom_site_fract_y
_atom_site_fract_z
Sr1 Sr 0.0000 0.0000 0.0000
Zr1 Zr 0.3551 0.5000 0.6591
Zr2 Zr 0.8336 0.0000 0.4647
W1 W 0.4897 0.5000 0.2990

Entry 15:
# SrZr2W (PBE-GGA, relaxed)
# Energy relative to the lowest polymorph listed for this composition, eV/atom: 0.3397
# E_tot, eV per atom: -7.2983
# Volume, Å³/cell: 189
# Formation energy from the elements, eV/f.u.: 2.54
data_SrZr2W
_cell_length_a 3.5544
_cell_length_b 4.9710
_cell_length_c 10.6907
_cell_angle_alpha 90.00
_cell_angle_beta 90.00
_cell_angle_gamma 90.00
_symmetry_space_group_name_H-M 'C m m 2'
_symmetry_Int_Tables_number 35
loop_
_symmetry_equiv_pos_as_xyz
'x,y,z'
'-x,-y,z'
'-x,y,z'
'x,-y,z'
'x+1/2,y+1/2,z'
'-x+1/2,-y+1/2,z'
'-x+1/2,y+1/2,z'
'x+1/2,-y+1/2,z'
loop_
_atom_site_label
_atom_site_type_symbol
_atom_site_fract_x
_atom_site_fract_y
_atom_site_fract_z
Sr1 Sr 0.0000 0.0000 0.0000
Zr1 Zr 0.0000 0.0000 0.4506
Zr2 Zr 0.0000 0.5000 0.6944
W1 W 0.0000 0.5000 0.2499

Entry 16:
# Sr2ZrW (PBE-GGA, relaxed)
# Energy relative to the lowest polymorph listed for this composition, eV/atom: 0.6503
# E_tot, eV per atom: -5.0472
# Volume, Å³/cell: 321
# Formation energy from the elements, eV/f.u.: 4.68
data_Sr2ZrW
_cell_length_a 3.2470
_cell_length_b 3.2470
_cell_length_c 35.1320
_cell_angle_alpha 90.00
_cell_angle_beta 90.00
_cell_angle_gamma 120.00
_symmetry_space_group_name_H-M 'R -3 m'
_symmetry_Int_Tables_number 166
_symmetry_space_group_name_Hall '-R 3 2"'
loop_
_atom_site_label
_atom_site_type_symbol
_atom_site_fract_x
_atom_site_fract_y
_atom_site_fract_z
Sr1 Sr 0.0000 0.0000 0.2427
Zr1 Zr 0.0000 0.0000 0.0000
W1 W 0.0000 0.0000 0.5000

Entry 17:
# SrZr2W (PBE-GGA, relaxed)
# Energy relative to the lowest polymorph listed for this composition, eV/atom: 0.3128
# E_tot, eV per atom: -7.3252
# Volume, Å³/cell: 204
# Formation energy from the elements, eV/f.u.: 2.43
data_SrZr2W
_cell_length_a 3.3004
_cell_length_b 5.8454
_cell_length_c 10.5787
_cell_angle_alpha 90.00
_cell_angle_beta 90.00
_cell_angle_gamma 90.00
_symmetry_space_group_name_H-M 'I m m m'
_symmetry_Int_Tables_number 71
_symmetry_space_group_name_Hall '-I 2 2'
loop_
_atom_site_label
_atom_site_type_symbol
_atom_site_fract_x
_atom_site_fract_y
_atom_site_fract_z
Sr1 Sr 0.0000 0.0000 0.0000
Zr1 Zr 0.0000 0.5000 0.2043
W1 W 0.0000 0.0000 0.5000

Entry 18:
# Sr4ZrW (PBE-GGA, relaxed)
# E_tot, eV per atom: -3.1502
# Volume, Å³/cell: 893
# Formation energy from the elements, eV/f.u.: 9.33
data_Sr4ZrW
_cell_length_a 9.6294
_cell_length_b 9.6294
_cell_length_c 9.6294
_cell_angle_alpha 90.00
_cell_angle_beta 90.00
_cell_angle_gamma 90.00
_symmetry_space_group_name_H-M 'F -4 3 m'
_symmetry_Int_Tables_number 216
_symmetry_space_group_name_Hall 'F -4 2 3'
loop_
_atom_site_label
_atom_site_type_symbol
_atom_site_fract_x
_atom_site_fract_y
_atom_site_fract_z
Sr1 Sr 0.1247 0.1247 0.1247
Zr1 Zr 0.2500 0.2500 0.7500
W1 W 0.0000 0.0000 0.5000

Entry 19:
# SrZr2W (PBE-GGA, relaxed)
# Energy relative to the lowest polymorph listed for this composition, eV/atom: 0.5186
# E_tot, eV per atom: -7.1194
# Volume, Å³/cell: 184
# Formation energy from the elements, eV/f.u.: 3.25
data_SrZr2W
_cell_length_a 6.5426
_cell_length_b 10.4788
_cell_length_c 2.9562
_cell_angle_alpha 90.00
_cell_angle_beta 115.07
_cell_angle_gamma 90.00
_symmetry_space_group_name_H-M 'C 1 2/m 1'
_symmetry_Int_Tables_number 12
loop_
_symmetry_equiv_pos_as_xyz
'x,y,z'
'-x,-y,-z'
'-x,y,-z'
'x,-y,z'
'x+1/2,y+1/2,z'
'-x+1/2,-y+1/2,-z'
'-x+1/2,y+1/2,-z'
'x+1/2,-y+1/2,z'
loop_
_atom_site_label
_atom_site_type_symbol
_atom_site_fract_x
_atom_site_fract_y
_atom_site_fract_z
Sr1 Sr 0.0000 0.0000 0.0000
Zr1 Zr 0.2500 0.2500 0.5000
W1 W 0.0000 0.5000 0.0000

Entry 20:
# SrZr3W (PBE-GGA, relaxed)
# Energy relative to the lowest polymorph listed for this composition, eV/atom: 0.0000
# E_tot, eV per atom: -7.4275
# Volume, Å³/cell: 145
# Formation energy from the elements, eV/f.u.: 3.14
data_SrZr3W
_cell_length_a 5.2517
_cell_length_b 5.2517
_cell_length_c 5.2517
_cell_angle_alpha 90.00
_cell_angle_beta 90.00
_cell_angle_gamma 90.00
_symmetry_space_group_name_H-M 'P m -3 m'
_symmetry_Int_Tables_number 221
_symmetry_space_group_name_Hall '-P 4 2 3'
loop_
_atom_site_label
_atom_site_type_symbol
_atom_site_fract_x
_atom_site_fract_y
_atom_site_fract_z
Sr1 Sr 0.0000 0.0000 0.0000
Zr1 Zr 0.0000 0.5000 0.5000
W1 W 0.5000 0.5000 0.5000